This record from the Alexandria database describes an optimized crystal structure of NdMg2AlAg4. The functional is PBE.

```
NdMg2AlAg4
1.0
2.3215 1.3403 8.8437
-2.3215 1.3403 8.8437
0.0000 -2.6807 8.8437
Nd Mg Al Ag
1 2 1 4
direct
0.0000 0.0000 0.0000 Nd
0.2420 0.2420 0.2420 Mg
0.7580 0.7580 0.7580 Mg
0.5000 0.5000 0.5000 Al
0.1319 0.1319 0.1319 Ag
0.3986 0.3986 0.3986 Ag
0.6014 0.6014 0.6014 Ag
0.8681 0.8681 0.8681 Ag
```

Energy of formation   -0.195 eV/atom
DOS at the Fermi energy   0.438 states/eV/atom
Total energy   -24.661 eV for the cell shown
Space-group type   R-3m, No. 166

=====

This record from the Alexandria database describes an optimized crystal structure of Nd2MgAl3Ag4. The functional is PBE.

```
Nd2MgAl3Ag4
1.0
4.4363 0.0000 0.0000
0.0000 4.4363 0.0000
0.0000 0.0000 10.9765
Nd Mg Al Ag
2 1 3 4
direct
0.0000 0.5000 0.2388 Nd
0.5000 0.0000 0.7612 Nd
0.0000 0.0000 0.5000 Mg
0.0000 0.5000 0.8700 Al
0.5000 0.0000 0.1300 Al
0.5000 0.5000 0.5000 Al
0.0000 0.0000 0.0000 Ag
0.0000 0.5000 0.6392 Ag
0.5000 0.0000 0.3608 Ag
0.5000 0.5000 0.0000 Ag
```

Energy of formation   -0.306 eV/atom
DOS at the Fermi energy   0.787 states/eV/atom
Total energy   -36.823 eV for the cell shown
Space-group type   P-4m2, No. 115

=====

This record from the Alexandria database describes an optimized crystal structure of NdMg2Al2Ag. The functional is PBE.

```
NdMg2Al2Ag
1.0
5.3024 0.0000 0.0000
0.0000 5.3024 0.0000
0.0000 0.0000 11.2165
Nd Mg Al Ag
2 4 4 2
direct
0.0000 0.0000 0.0000 Nd
0.5000 0.5000 0.5000 Nd
0.0000 0.5000 0.2500 Mg
0.0000 0.5000 0.7500 Mg
0.5000 0.0000 0.2500 Mg
0.5000 0.0000 0.7500 Mg
0.0000 0.0000 0.2817 Al
0.0000 0.0000 0.7183 Al
0.5000 0.5000 0.2183 Al
0.5000 0.5000 0.7817 Al
0.0000 0.0000 0.5000 Ag
0.5000 0.5000 0.0000 Ag
```

Energy of formation   0.261 eV/atom
DOS at the Fermi energy   0.840 states/eV/atom
Total energy   -33.460 eV for the cell shown
Space-group type   I4/mmm, No. 139

=====

This record from the Alexandria database describes an optimized crystal structure of MgPaAlAg. The functional is PBE.

```
MgPaAlAg
1.0
7.0062 0.0000 0.0000
0.0000 7.0062 0.0000
0.0000 0.0000 7.0062
Mg Pa Al Ag
4 4 4 4
direct
0.0000 0.0000 0.0000 Mg
0.0000 0.5000 0.5000 Mg
0.5000 0.0000 0.5000 Mg
0.5000 0.5000 0.0000 Mg
0.0000 0.0000 0.5000 Pa
0.0000 0.5000 0.0000 Pa
0.5000 0.0000 0.0000 Pa
0.5000 0.5000 0.5000 Pa
0.2500 0.2500 0.2500 Al
0.2500 0.7500 0.7500 Al
0.7500 0.2500 0.7500 Al
0.7500 0.7500 0.2500 Al
0.2500 0.2500 0.7500 Ag
0.2500 0.7500 0.2500 Ag
0.7500 0.2500 0.2500 Ag
0.7500 0.7500 0.7500 Ag
```

Energy of formation   0.045 eV/atom
DOS at the Fermi energy   1.203 states/eV/atom
Total energy   -70.024 eV for the cell shown
Space-group type   F-43m, No. 216

=====

This record from the Alexandria database describes an optimized crystal structure of Mg2Al2AgPd5. The functional is PBE.

```
Mg2Al2AgPd5
1.0
9.5360 0.0000 0.0000
0.0000 9.5360 0.0000
0.0000 0.0000 3.6667
Mg Al Ag Pd
4 4 2 10
direct
0.1727 0.3273 0.0000 Mg
0.3273 0.8273 0.0000 Mg
0.6727 0.1727 0.0000 Mg
0.8273 0.6727 0.0000 Mg
0.1263 0.6263 0.0000 Al
0.3737 0.1263 0.0000 Al
0.6263 0.8737 0.0000 Al
0.8737 0.3737 0.0000 Al
0.0000 0.0000 0.0000 Ag
0.5000 0.5000 0.0000 Ag
0.0000 0.5000 0.5000 Pd
0.0775 0.7953 0.5000 Pd
0.2047 0.0775 0.5000 Pd
0.2953 0.5775 0.5000 Pd
0.4225 0.2953 0.5000 Pd
0.5000 0.0000 0.5000 Pd
0.5775 0.7047 0.5000 Pd
0.7047 0.4225 0.5000 Pd
0.7953 0.9225 0.5000 Pd
0.9225 0.2047 0.5000 Pd
```

Energy of formation   -0.564 eV/atom
DOS at the Fermi energy   0.312 states/eV/atom
Total energy   -90.257 eV for the cell shown
Space-group type   P4/mbm, No. 127

=====

This record from the Alexandria database describes an optimized crystal structure of PmMg2AlAg4. The functional is PBE.

```
PmMg2AlAg4
1.0
2.3230 1.3412 8.7499
-2.3230 1.3412 8.7499
0.0000 -2.6824 8.7499
Pm Mg Al Ag
1 2 1 4
direct
0.0000 0.0000 0.0000 Pm
0.2429 0.2429 0.2429 Mg
0.7571 0.7571 0.7571 Mg
0.5000 0.5000 0.5000 Al
0.1315 0.1315 0.1315 Ag
0.3975 0.3975 0.3975 Ag
0.6025 0.6025 0.6025 Ag
0.8685 0.8685 0.8685 Ag
```

Energy of formation   -0.196 eV/atom
DOS at the Fermi energy   0.416 states/eV/atom
Total energy   -24.653 eV for the cell shown
Space-group type   R-3m, No. 166

=====

This record from the Alexandria database describes an optimized crystal structure of PmMg2AlAg2. The functional is PBE.

```
PmMg2AlAg2
1.0
5.1741 0.0000 0.0000
0.0000 5.1741 0.0000
0.0000 0.0000 11.2364
Pm Mg Al Ag
2 4 2 4
direct
0.0000 0.0000 0.0000 Pm
0.5000 0.5000 0.5000 Pm
0.0000 0.5000 0.2500 Mg
0.0000 0.5000 0.7500 Mg
0.5000 0.0000 0.2500 Mg
0.5000 0.0000 0.7500 Mg
0.0000 0.0000 0.5000 Al
0.5000 0.5000 0.0000 Al
0.0000 0.0000 0.2815 Ag
0.0000 0.0000 0.7185 Ag
0.5000 0.5000 0.2185 Ag
0.5000 0.5000 0.7815 Ag
```

Energy of formation   0.071 eV/atom
DOS at the Fermi energy   0.624 states/eV/atom
Total energy   -33.912 eV for the cell shown
Space-group type   I4/mmm, No. 139

=====

This record from the Alexandria database describes an optimized crystal structure of PmMg2Al2Ag. The functional is PBE.

```
PmMg2Al2Ag
1.0
5.3066 0.0000 0.0000
0.0000 5.3066 0.0000
0.0000 0.0000 11.1467
Pm Mg Al Ag
2 4 4 2
direct
0.0000 0.0000 0.0000 Pm
0.5000 0.5000 0.5000 Pm
0.0000 0.5000 0.2500 Mg
0.0000 0.5000 0.7500 Mg
0.5000 0.0000 0.2500 Mg
0.5000 0.0000 0.7500 Mg
0.0000 0.0000 0.2802 Al
0.0000 0.0000 0.7198 Al
0.5000 0.5000 0.2198 Al
0.5000 0.5000 0.7802 Al
0.0000 0.0000 0.5000 Ag
0.5000 0.5000 0.0000 Ag
```

Energy of formation   0.275 eV/atom
DOS at the Fermi energy   0.846 states/eV/atom
Total energy   -33.257 eV for the cell shown
Space-group type   I4/mmm, No. 139

=====

This record from the Alexandria database describes an optimized crystal structure of Pm2MgAl4Ag3. The functional is PBE.

```
Pm2MgAl4Ag3
1.0
4.3025 0.0000 0.0000
0.0000 4.3025 0.0000
0.0000 0.0000 11.4776
Pm Mg Al Ag
2 1 4 3
direct
0.0000 0.5000 0.2408 Pm
0.5000 0.0000 0.7592 Pm
0.0000 0.0000 0.5000 Mg
0.0000 0.0000 0.0000 Al
0.0000 0.5000 0.6500 Al
0.5000 0.0000 0.3500 Al
0.5000 0.5000 0.0000 Al
0.0000 0.5000 0.8698 Ag
0.5000 0.0000 0.1302 Ag
0.5000 0.5000 0.5000 Ag
```

Energy of formation   -0.319 eV/atom
DOS at the Fermi energy   0.648 states/eV/atom
Total energy   -37.806 eV for the cell shown
Space-group type   P-4m2, No. 115

=====

This record from the Alexandria database describes an optimized crystal structure of PmMgAl2Ag2. The functional is PBE.

```
PmMgAl2Ag2
1.0
4.5060 0.0000 0.0000
-2.2530 3.9023 0.0000
0.0000 0.0000 7.1406
Pm Mg Al Ag
1 1 2 2
direct
0.0000 0.0000 0.0000 Pm
0.0000 0.0000 0.5000 Mg
0.3333 0.6667 0.7229 Al
0.6667 0.3333 0.2771 Al
0.3333 0.6667 0.3045 Ag
0.6667 0.3333 0.6955 Ag
```

Energy of formation   -0.295 eV/atom
DOS at the Fermi energy   0.503 states/eV/atom
Total energy   -21.302 eV for the cell shown
Space-group type   P-3m1, No. 164

=====

This record from the Alexandria database describes an optimized crystal structure of PrMgAl2Ag5. The functional is PBE.

```
PrMgAl2Ag5
1.0
4.9225 0.0000 0.0000
0.0000 4.9225 0.0000
0.0000 0.0000 7.8737
Pr Mg Al Ag
1 1 2 5
direct
0.0000 0.0000 0.0000 Pr
0.0000 0.0000 0.5000 Mg
0.5000 0.5000 0.3383 Al
0.5000 0.5000 0.6617 Al
0.0000 0.5000 0.2452 Ag
0.0000 0.5000 0.7548 Ag
0.5000 0.0000 0.2452 Ag
0.5000 0.0000 0.7548 Ag
0.5000 0.5000 0.0000 Ag
```

Energy of formation   -0.049 eV/atom
DOS at the Fermi energy   0.416 states/eV/atom
Total energy   -28.554 eV for the cell shown
Space-group type   P4/mmm, No. 123

=====

This record from the Alexandria database describes an optimized crystal structure of PrMg2Al2Ag. The functional is PBE.

```
PrMg2Al2Ag
1.0
5.2973 0.0000 0.0000
0.0000 5.2973 0.0000
0.0000 0.0000 11.2932
Pr Mg Al Ag
2 4 4 2
direct
0.0000 0.0000 0.0000 Pr
0.5000 0.5000 0.5000 Pr
0.0000 0.5000 0.2500 Mg
0.0000 0.5000 0.7500 Mg
0.5000 0.0000 0.2500 Mg
0.5000 0.0000 0.7500 Mg
0.0000 0.0000 0.2833 Al
0.0000 0.0000 0.7167 Al
0.5000 0.5000 0.2167 Al
0.5000 0.5000 0.7833 Al
0.0000 0.0000 0.5000 Ag
0.5000 0.5000 0.0000 Ag
```

Energy of formation   0.245 eV/atom
DOS at the Fermi energy   0.829 states/eV/atom
Total energy   -33.665 eV for the cell shown
Space-group type   I4/mmm, No. 139

=====

> The highest total energy belongs to which entry?

PmMgAl2Ag2